No. 1
# Tl3Se (PBE-GGA, optimized geometry)
# Total magnetic moment   0.0 μB/f.u.
# Crystal system   hexagonal
# Fermi-level density of states   1.50 states/eV per cell
data_Tl3Se
_cell_length_a 4.1020
_cell_length_b 4.1020
_cell_length_c 9.1407
_cell_angle_alpha 90.00
_cell_angle_beta 90.00
_cell_angle_gamma 120.00
_space_group_name_H-M_alt 'P -6 m 2'
_space_group_IT_number 187
_space_group_name_Hall 'P -6 2'
loop_
_atom_site_label
_atom_site_type_symbol
_atom_site_fract_x
_atom_site_fract_y
_atom_site_fract_z
Tl1 Tl 0.0000 0.0000 0.0000
Tl2 Tl 0.6667 0.3333 0.2954
Se1 Se 0.0000 0.0000 0.5000


No. 2
# Tl2Se3 (PBE-GGA, optimized geometry)
# Total magnetic moment   0.0 μB/f.u.
# Crystal system   orthorhombic
data_Tl2Se3
_cell_length_a 9.1809
_cell_length_b 8.7330
_cell_length_c 8.6995
_cell_angle_alpha 90.00
_cell_angle_beta 90.00
_cell_angle_gamma 90.00
_space_group_name_H-M_alt 'C m c 21'
_space_group_IT_number 36
loop_
_space_group_symop_operation_xyz
'x,y,z'
'-x,-y,z+1/2'
'-x,y,z'
'x,-y,z+1/2'
'x+1/2,y+1/2,z'
'-x+1/2,-y+1/2,z+1/2'
'-x+1/2,y+1/2,z'
'x+1/2,-y+1/2,z+1/2'
loop_
_atom_site_label
_atom_site_type_symbol
_atom_site_fract_x
_atom_site_fract_y
_atom_site_fract_z
Tl1 Tl 0.2325 0.1181 0.0000
Se1 Se 0.0000 0.0766 0.2721
Se2 Se 0.0000 0.1756 0.6580
Se3 Se 0.0000 0.3565 0.8654


No. 3
# Tl3Se4 (PBE-GGA, optimized geometry)
# Total magnetic moment   0.0 μB/f.u.
# Crystal system   tetragonal
# Relative energy among the computed polymorphs   116 meV/atom
# Fermi-level density of states   6.39 states/eV per cell
data_Tl3Se4
_cell_length_a 3.9383
_cell_length_b 3.9383
_cell_length_c 26.5049
_cell_angle_alpha 90.00
_cell_angle_beta 90.00
_cell_angle_gamma 90.00
_space_group_name_H-M_alt 'I 4/m m m'
_space_group_IT_number 139
_space_group_name_Hall '-I 4 2'
loop_
_atom_site_label
_atom_site_type_symbol
_atom_site_fract_x
_atom_site_fract_y
_atom_site_fract_z
Tl1 Tl 0.0000 0.0000 0.0000
Tl2 Tl 0.0000 0.0000 0.2912
Se1 Se 0.0000 0.0000 0.1178
Se2 Se 0.0000 0.0000 0.4003


No. 4
# Tl3Se5 (PBE-GGA, optimized geometry)
# Total magnetic moment   0.0 μB/f.u.
# Crystal system   monoclinic
# Relative energy among the computed polymorphs   0 meV/atom
# Fermi-level density of states   17.31 states/eV per cell
data_Tl3Se5
_cell_length_a 9.1201
_cell_length_b 8.3982
_cell_length_c 12.9133
_cell_angle_alpha 90.00
_cell_angle_beta 110.47
_cell_angle_gamma 90.00
_space_group_name_H-M_alt 'C 1 c 1'
_space_group_IT_number 9
loop_
_space_group_symop_operation_xyz
'x,y,z'
'x,-y,z+1/2'
'x+1/2,y+1/2,z'
'x+1/2,-y+1/2,z+1/2'
loop_
_atom_site_label
_atom_site_type_symbol
_atom_site_fract_x
_atom_site_fract_y
_atom_site_fract_z
Tl1 Tl 0.0000 0.0671 0.0000
Tl2 Tl 0.1449 0.3171 0.7898
Tl3 Tl 0.3643 0.1250 0.6449
Se1 Se 0.0316 0.0438 0.2672
Se2 Se 0.1274 0.4117 0.4853
Se3 Se 0.2114 0.3748 0.1450
Se4 Se 0.2869 0.1619 0.3043
Se5 Se 0.4093 0.2062 0.0226


no.,formation energy from raw total energies (meV per atom)
1,-184.5
2,-188.3
3,-24.9
4,-150.4